(1)
A relaxed Ca2YSc crystal. Source: Alexandria via LeMat-Bulk, functional GGA-PBE.

Structure (POSCAR):
```
Ca2YSc
1.0
-0.2356 1.7533 -6.1953
2.7718 -6.2509 1.2548
-2.6108 -2.0911 -0.9346
Y Sc Ca
1 1 2
Cartesian
1.2681 -2.2488 -2.4703
0.0805 -4.1710 0.1601
0.0000 0.0000 0.0000
-1.4232 -0.1689 -3.5650
```

## Properties
The value obtained for the total magnetic moment is 0.00 μB/cell. The formation energy comes out at 0.21 eV/atom. The calculated total energy comes out at -3.99 eV/atom. Its crystal system is monoclinic.

---

(2)
A relaxed InAgCl crystal. Source: Alexandria via LeMat-Bulk, functional GGA-PBE.

Structure (POSCAR):
```
InAgCl
1.0
6.3249 0.0623 -0.0580
5.2550 3.3540 0.0595
1.0699 -0.1172 3.2917
Cl Ag In
1 1 1
Cartesian
4.7946 1.1350 2.1257
11.5419 3.4035 0.0134
7.8932 2.1768 1.1557
```

## Properties
The calculation puts the uncorrected formation energy at -0.69 eV per formula unit. The value obtained for the total magnetic moment is 0.00 μB/cell. The calculated total energy comes out at -2.71 eV/atom. Its crystal system is orthorhombic.

---

Q: What is the calculated total energy in the second record?
A: -2.71 eV/atom